[1]
Compound: Cr2NiRh2
Source: the Alexandria database
Functional: PBE
Structure: relaxed

```
10
Lattice="3.913 0.000 0.000 0.000 5.236 0.000 -1.957 0.000 6.454" Properties=species:S:1:pos:R:3 pbc="T T T"
Cr 0.000 0.876 2.487
Rh 1.957 3.539 6.392
Cr 1.957 2.196 1.301
Ni 0.000 2.222 5.127
Ni 1.957 4.840 1.327
Rh 1.957 0.934 3.836
Rh 0.000 0.921 0.062
Rh 0.000 3.552 2.618
Cr 1.957 3.494 3.967
Cr 0.000 4.814 5.154
```

***

[2]
Compound: Cr2Ni3Rh4
Source: the Alexandria database
Functional: PBE
Structure: relaxed

```
18
Lattice="-1.709 0.601 4.411 4.166 -4.399 3.718 4.346 5.038 2.502" Properties=species:S:1:pos:R:3 pbc="T T T"
Rh 1.744 -1.043 4.902
Cr 2.217 -0.537 2.414
Cr 5.410 -0.108 6.216
Ni -0.022 -0.046 3.097
Rh 2.741 3.241 4.612
Ni 2.974 0.758 6.420
Ni 3.829 0.482 4.211
Rh 3.494 -2.368 3.090
Cr 4.586 1.777 8.217
Ni 5.954 0.710 9.852
Rh 4.062 -2.001 6.019
Ni 6.825 1.286 7.534
Rh 4.143 -0.644 8.350
Rh 3.309 3.607 7.540
Rh 5.059 2.283 5.729
Ni 0.849 0.530 0.778
Rh 2.660 1.884 2.280
Cr 1.393 1.348 4.415
```

***

[3]
Compound: CrNiRh2
Source: the Alexandria database
Functional: PBE
Structure: relaxed

```
4
Lattice="4.637 0.004 0.012 -2.277 4.563 0.002 0.082 0.779 2.559" Properties=species:S:1:pos:R:3 pbc="T T T"
Ni 1.180 2.283 0.007
Rh 0.000 0.000 0.000
Rh 2.360 0.391 1.286
Cr -1.097 2.671 1.280
```

***

[4]
Compound: CrNi6Rh2
Source: the Alexandria database
Functional: PBE
Structure: relaxed

```
9
Lattice="-2.454 -2.079 -1.596 -2.399 -2.451 2.842 -6.564 3.790 1.118" Properties=species:S:1:pos:R:3 pbc="T T T"
Cr -4.481 0.670 1.980
Rh -7.013 0.547 1.993
Ni -5.782 0.802 -0.231
Ni -5.635 -1.541 2.595
Ni -1.820 -1.180 0.297
Rh -4.405 -1.287 0.371
Ni -5.872 2.769 1.384
Ni -9.597 0.440 2.067
Ni -5.546 -3.508 0.980
```

***

| no. | calculated formation energy (eV/atom) |
| --- | --- |
| 1 | 0.07 |
| 2 | 0.05 |
| 3 | 0.19 |
| 4 | 0.00 |